A geometry-optimized BeRu2 structure, computed with PBE.

Lattice parameters (Å, degrees): 5.3118 5.3118 5.3118 90.00 90.00 90.00
Last column: nearest neighbours and their distance in Å.
Atoms (fractional coordinates):
Be: 0.0000 0.0000 0.0000  6 Ru 2.18
Be: 0.0000 0.5000 0.5000  6 Ru 2.18
Be: 0.5000 0.0000 0.5000  6 Ru 2.18
Be: 0.5000 0.5000 0.0000  6 Ru 2.18
Ru: 0.1439 0.6439 0.8561  3 Be 2.18
Ru: 0.1439 0.8561 0.3561  3 Be 2.18
Ru: 0.3561 0.1439 0.8561  3 Be 2.18
Ru: 0.3561 0.3561 0.3561  3 Be 2.18
Ru: 0.6439 0.6439 0.6439  3 Be 2.18
Ru: 0.6439 0.8561 0.1439  3 Be 2.18
Ru: 0.8561 0.1439 0.6439  3 Be 2.18
Ru: 0.8561 0.3561 0.1439  3 Be 2.18

## Properties
Its space group is Pa-3, No. 205. As for the energy relative to the elements: 431 meV/atom. The final energy is -83.94 eV/cell.